No. 1
Compound: Y2Te2S
Source: Alexandria
Functional: GGA-PBE
Structure: relaxed

energy above the most stable polymorph in this dataset	0.00	eV per formula unit
spin magnetization	0.00	μB per formula unit
raw total energy	-6.259	eV per atom

a = 6.412 Å, b = 7.748 Å, c = 7.748 Å
α = 62.17°, β = 65.55°, γ = 65.55°
Fractional positions:
Te1 0.353 0.772 0.521
Y1 0.100 0.133 0.668
Y2 0.400 0.332 0.867
Te2 0.853 0.521 0.772
Y3 0.600 0.668 0.133
Te3 0.647 0.228 0.479
S1 0.250 0.000 0.000
Te4 0.147 0.479 0.228
Y4 0.900 0.867 0.332
S2 0.750 0.000 0.000

***

No. 2
Compound: Bi4RhPb4
Source: Alexandria
Functional: GGA-PBE
Structure: relaxed

spin magnetization	0.00	μB per formula unit
raw total energy	-4.201	eV per atom
energy relative to the elements	-11	meV/atom

a = 3.443 Å, b = 9.007 Å, c = 9.007 Å
α = 87.91°, β = 78.98°, γ = 78.98°
Fractional positions:
Pb1 0.436 0.904 0.725
Bi1 0.153 0.235 0.959
Bi2 0.847 0.765 0.041
Pb2 0.564 0.096 0.275
Bi3 0.112 0.541 0.735
Rh1 0.500 0.500 0.000
Pb3 0.840 0.225 0.596
Bi4 0.888 0.459 0.265
Pb4 0.160 0.775 0.404